Material: VTePtO6
Method: DFT, PBE+U
State: optimized geometry

Computed properties:
**D(E_F)**: 3.0 states/eV/f.u.
**E_tot**: -6.14 eV per atom
**Spin magnetization**: 3.5 μB/cell
**Space-group type**: P-31c, No. 163

Lattice parameters (Å, degrees): 5.210 5.210 8.851 90.00 90.00 120.00
Atoms (fractional coordinates):
V 0.333 0.667 0.250
V 0.667 0.333 0.750
Te 0.333 0.667 0.750
Te 0.667 0.333 0.250
Pt 0.000 0.000 0.000
Pt 0.000 0.000 0.500
O 0.004 0.346 0.629
O 0.004 0.657 0.871
O 0.343 0.346 0.871
O 0.343 0.996 0.629
O 0.346 0.004 0.129
O 0.346 0.343 0.371
O 0.654 0.657 0.629
O 0.654 0.996 0.871
O 0.657 0.004 0.371
O 0.657 0.654 0.129
O 0.996 0.343 0.129
O 0.996 0.654 0.371